Computed, not measured: LaTlMo2 after structural relaxation at the PBE level of DFT.

```
LaTlMo2
1.0
1.6505 0.9529 9.6305
-1.6505 0.9529 9.6305
0.0000 -1.9059 9.6305
La Tl Mo
1 1 2
direct
0.0000 0.0000 0.0000 La
0.7693 0.7693 0.7693 Tl
0.2455 0.2455 0.2455 Mo
0.5215 0.5215 0.5215 Mo
```

## Properties
For the calculated total energy, the calculation gives -6.813 eV per atom. The value obtained for the energy above the lowest structure with this stoichiometry is 0.230 eV/atom. Its space-group type is R3m, No. 160. For the magnetization, the calculation gives 0.0 μB/cell. The calculation puts the energy of formation from the pure elements at 0.426 eV/atom. The density is 9.8 g cm⁻³.

***

Computed, not measured: Re2HgMo after structural relaxation at the PBE level of DFT.

```
Re2HgMo
1.0
2.8530 0.0000 0.0000
0.0000 2.8530 0.0000
0.0000 0.0000 8.1673
Re Hg Mo
2 1 1
direct
0.0000 0.0000 0.2267 Re
0.0000 0.0000 0.7733 Re
0.5000 0.5000 0.5000 Hg
0.5000 0.5000 0.0000 Mo
```

## Properties
For the calculated total energy, the calculation gives -8.439 eV per atom. Its space-group type is P4/mmm, No. 123. For the magnetization, the calculation gives 0.0 μB/cell. The calculation puts the energy of formation from the pure elements at 0.568 eV/atom. The density is 16.7 g cm⁻³.

***

Computed, not measured: Li4CuPd4 after structural relaxation at the PBE level of DFT.

```
Li4CuPd4
1.0
-4.2890 4.2890 1.7931
4.2890 -4.2890 1.7931
4.2890 4.2890 -1.7931
Li Cu Pd
4 1 4
direct
0.0000 0.3080 0.3080 Li
0.0000 0.6920 0.6920 Li
0.3080 0.0000 0.3080 Li
0.6920 0.0000 0.6920 Li
0.0000 0.0000 0.0000 Cu
0.3361 0.3361 0.6722 Pd
0.3361 0.6639 0.0000 Pd
0.6639 0.3361 0.0000 Pd
0.6639 0.6639 0.3278 Pd
```

## Properties
For the calculated total energy, the calculation gives -3.929 eV per atom. The value obtained for the energy above the lowest structure with this stoichiometry is 0.016 eV/atom. Its space-group type is I4/mmm, No. 139. For the magnetization, the calculation gives 0.0 μB/cell. The calculation puts the energy of formation from the pure elements at -0.315 eV/atom. The density is 6.5 g cm⁻³.

***

Computed, not measured: YIn2SiH after structural relaxation at the PBE level of DFT.

```
YIn2SiH
1.0
5.1325 0.0000 0.0000
0.0000 5.1325 0.0000
0.0000 0.0000 5.4759
Y In Si H
1 2 1 1
direct
0.0000 0.0000 0.0000 Y
0.0000 0.5000 0.5000 In
0.5000 0.0000 0.5000 In
0.0000 0.0000 0.5000 Si
0.5000 0.5000 0.0000 H
```

## Properties
For the calculated total energy, the calculation gives -3.555 eV per atom. Its space-group type is P4/mmm, No. 123. For the magnetization, the calculation gives 0.0 μB/cell. The density is 4.0 g cm⁻³.

***

- Which value of magnetization does entry 3 give?
  0.0 μB/cell